# Zn6Ag12Hg PBE relaxed
# Density: 9.18 g/cm3
# Total magnetic moment: 0.000 μB/cell
# Relative energy among the computed polymorphs: 0.000 eV/f.u.
data_Zn6Ag12Hg
_chemical_formula_sum 'Zn6 Ag12 Hg1'
_space_group_name_H-M_alt 'P 1'
_space_group_IT_number 1
_cell_length_a 7.222
_cell_length_b 7.222
_cell_length_c 7.222
_cell_angle_alpha 103.15
_cell_angle_beta 103.15
_cell_angle_gamma 103.15
loop_
_space_group_symop_operation_xyz
'x,y,z'
loop_
_atom_site_label
_atom_site_fract_x
_atom_site_fract_y
_atom_site_fract_z
_atom_site_occupancy
Zn1 0.829 0.830 0.577 1
Zn2 0.423 0.171 0.170 1
Zn3 0.170 0.423 0.171 1
Zn4 0.171 0.170 0.423 1
Zn5 0.577 0.829 0.830 1
Zn6 0.830 0.577 0.829 1
Ag1 0.806 0.422 0.421 1
Ag2 0.421 0.806 0.422 1
Ag3 0.422 0.421 0.806 1
Ag4 0.194 0.578 0.579 1
Ag5 0.579 0.194 0.578 1
Ag6 0.578 0.579 0.194 1
Ag7 0.000 0.735 0.265 1
Ag8 0.265 0.735 0.000 1
Ag9 0.735 0.000 0.265 1
Ag10 0.000 0.265 0.735 1
Ag11 0.735 0.265 0.000 1
Ag12 0.265 0.000 0.735 1
Hg1 0.000 0.000 0.000 1

---

# ZnAgHg PBE relaxed
# Density: 11.12 g/cm3
# Total magnetic moment: 0.000 μB/cell
# Relative energy among the computed polymorphs: 0.072 eV/f.u.
data_ZnAgHg
_chemical_formula_sum 'Zn4 Ag4 Hg4'
_space_group_name_H-M_alt 'P 1'
_space_group_IT_number 1
_cell_length_a 7.516
_cell_length_b 5.313
_cell_length_c 8.820
_cell_angle_alpha 90.00
_cell_angle_beta 140.62
_cell_angle_gamma 90.00
loop_
_space_group_symop_operation_xyz
'x,y,z'
loop_
_atom_site_label
_atom_site_fract_x
_atom_site_fract_y
_atom_site_fract_z
_atom_site_occupancy
Zn1 0.339 0.424 0.417 1
Zn2 0.839 0.576 0.917 1
Zn3 0.339 0.924 0.917 1
Zn4 0.839 0.076 0.417 1
Hg1 0.347 0.387 0.091 1
Hg2 0.847 0.613 0.591 1
Hg3 0.347 0.887 0.591 1
Hg4 0.847 0.113 0.091 1
Ag1 0.811 0.606 0.220 1
Ag2 0.311 0.394 0.720 1
Ag3 0.811 0.106 0.720 1
Ag4 0.311 0.894 0.220 1

---

# ZnAgHg PBE relaxed
# Density: 11.04 g/cm3
# Total magnetic moment: 0.000 μB/cell
# Relative energy among the computed polymorphs: 0.101 eV/f.u.
data_ZnAgHg
_chemical_formula_sum 'Zn1 Ag1 Hg1'
_space_group_name_H-M_alt 'P 1'
_space_group_IT_number 1
_cell_length_a 6.593
_cell_length_b 6.593
_cell_length_c 6.593
_cell_angle_alpha 153.68
_cell_angle_beta 153.68
_cell_angle_gamma 37.57
loop_
_space_group_symop_operation_xyz
'x,y,z'
loop_
_atom_site_label
_atom_site_fract_x
_atom_site_fract_y
_atom_site_fract_z
_atom_site_occupancy
Ag1 0.013 0.013 0.000 1
Hg1 0.328 0.328 0.000 1
Zn1 0.659 0.659 0.000 1

---

# ZnAgHg3 PBE relaxed
# Density: 7.60 g/cm3
# Total magnetic moment: 0.000 μB/cell
# Relative energy among the computed polymorphs: 0.000 eV/f.u.
data_ZnAgHg3
_chemical_formula_sum 'Zn1 Ag1 Hg3'
_space_group_name_H-M_alt 'P 1'
_space_group_IT_number 1
_cell_length_a 5.532
_cell_length_b 5.532
_cell_length_c 5.532
_cell_angle_alpha 90.00
_cell_angle_beta 90.00
_cell_angle_gamma 90.00
loop_
_space_group_symop_operation_xyz
'x,y,z'
loop_
_atom_site_label
_atom_site_fract_x
_atom_site_fract_y
_atom_site_fract_z
_atom_site_occupancy
Zn1 0.500 0.500 0.500 1
Hg1 0.000 0.500 0.000 1
Hg2 0.000 0.000 0.500 1
Hg3 0.500 0.000 0.000 1
Ag1 0.000 0.000 0.000 1

---

# Zn2Ag2Hg PBE relaxed
# Density: 9.26 g/cm3
# Total magnetic moment: 0.000 μB/cell
# Relative energy among the computed polymorphs: 0.364 eV/f.u.
data_Zn2Ag2Hg
_chemical_formula_sum 'Zn2 Ag2 Hg1'
_space_group_name_H-M_alt 'P 1'
_space_group_IT_number 1
_cell_length_a 3.937
_cell_length_b 3.937
_cell_length_c 6.914
_cell_angle_alpha 73.46
_cell_angle_beta 73.46
_cell_angle_gamma 90.00
loop_
_space_group_symop_operation_xyz
'x,y,z'
loop_
_atom_site_label
_atom_site_fract_x
_atom_site_fract_y
_atom_site_fract_z
_atom_site_occupancy
Zn1 0.401 0.401 0.199 1
Zn2 0.599 0.599 0.801 1
Hg1 0.000 0.000 0.000 1
Ag1 0.750 0.250 0.500 1
Ag2 0.250 0.750 0.500 1

---

# ZnAgHg PBE relaxed
# Density: 10.90 g/cm3
# Total magnetic moment: 0.000 μB/cell
# Relative energy among the computed polymorphs: 0.046 eV/f.u.
data_ZnAgHg
_chemical_formula_sum 'Zn2 Ag2 Hg2'
_space_group_name_H-M_alt 'P 1'
_space_group_IT_number 1
_cell_length_a 3.064
_cell_length_b 5.085
_cell_length_c 8.717
_cell_angle_alpha 62.18
_cell_angle_beta 100.46
_cell_angle_gamma 108.30
loop_
_space_group_symop_operation_xyz
'x,y,z'
loop_
_atom_site_label
_atom_site_fract_x
_atom_site_fract_y
_atom_site_fract_z
_atom_site_occupancy
Hg1 0.134 0.689 0.102 1
Hg2 0.866 0.311 0.898 1
Zn1 0.645 0.360 0.422 1
Zn2 0.355 0.640 0.578 1
Ag1 0.096 0.987 0.704 1
Ag2 0.904 0.013 0.296 1

---

# ZnAg2Hg PBE relaxed
# Density: 10.85 g/cm3
# Total magnetic moment: 0.000 μB/cell
# Relative energy among the computed polymorphs: 0.024 eV/f.u.
data_ZnAg2Hg
_chemical_formula_sum 'Zn1 Ag2 Hg1'
_space_group_name_H-M_alt 'P 1'
_space_group_IT_number 1
_cell_length_a 9.591
_cell_length_b 9.591
_cell_length_c 9.591
_cell_angle_alpha 18.02
_cell_angle_beta 18.02
_cell_angle_gamma 18.02
loop_
_space_group_symop_operation_xyz
'x,y,z'
loop_
_atom_site_label
_atom_site_fract_x
_atom_site_fract_y
_atom_site_fract_z
_atom_site_occupancy
Zn1 0.750 0.750 0.750 1
Hg1 0.250 0.250 0.250 1
Ag1 0.007 0.007 0.007 1
Ag2 0.493 0.493 0.493 1

---

# ZnAgHg PBE relaxed
# Density: 10.91 g/cm3
# Total magnetic moment: 0.000 μB/cell
# Relative energy among the computed polymorphs: 0.088 eV/f.u.
data_ZnAgHg
_chemical_formula_sum 'Zn1 Ag1 Hg1'
_space_group_name_H-M_alt 'P 1'
_space_group_IT_number 1
_cell_length_a 3.072
_cell_length_b 3.166
_cell_length_c 7.000
_cell_angle_alpha 89.97
_cell_angle_beta 77.29
_cell_angle_gamma 59.82
loop_
_space_group_symop_operation_xyz
'x,y,z'
loop_
_atom_site_label
_atom_site_fract_x
_atom_site_fract_y
_atom_site_fract_z
_atom_site_occupancy
Zn1 0.363 0.110 0.409 1
Hg1 0.805 0.889 0.745 1
Ag1 0.240 0.670 0.104 1

---

# ZnAgHg3 PBE relaxed
# Density: 9.29 g/cm3
# Total magnetic moment: 0.000 μB/cell
# Relative energy among the computed polymorphs: 0.303 eV/f.u.
data_ZnAgHg3
_chemical_formula_sum 'Zn1 Ag1 Hg3'
_space_group_name_H-M_alt 'P 1'
_space_group_IT_number 1
_cell_length_a 5.174
_cell_length_b 5.174
_cell_length_c 5.174
_cell_angle_alpha 90.00
_cell_angle_beta 90.00
_cell_angle_gamma 90.00
loop_
_space_group_symop_operation_xyz
'x,y,z'
loop_
_atom_site_label
_atom_site_fract_x
_atom_site_fract_y
_atom_site_fract_z
_atom_site_occupancy
Zn1 0.000 0.000 0.000 1
Hg1 0.000 0.500 0.000 1
Hg2 0.000 0.000 0.500 1
Hg3 0.500 0.000 0.000 1
Ag1 0.500 0.500 0.500 1

---

# ZnAgHg PBE relaxed
# Density: 11.05 g/cm3
# Total magnetic moment: 0.000 μB/cell
# Relative energy among the computed polymorphs: 0.089 eV/f.u.
data_ZnAgHg
_chemical_formula_sum 'Zn4 Ag4 Hg4'
_space_group_name_H-M_alt 'P 1'
_space_group_IT_number 1
_cell_length_a 4.576
_cell_length_b 9.266
_cell_length_c 5.299
_cell_angle_alpha 90.00
_cell_angle_beta 90.00
_cell_angle_gamma 90.00
loop_
_space_group_symop_operation_xyz
'x,y,z'
loop_
_atom_site_label
_atom_site_fract_x
_atom_site_fract_y
_atom_site_fract_z
_atom_site_occupancy
Zn1 0.500 0.155 0.596 1
Zn2 0.500 0.845 0.596 1
Zn3 0.500 0.655 0.096 1
Zn4 0.500 0.345 0.096 1
Hg1 0.000 0.672 0.751 1
Hg2 0.000 0.328 0.751 1
Hg3 0.000 0.172 0.251 1
Hg4 0.000 0.828 0.251 1
Ag1 0.500 0.000 0.076 1
Ag2 0.500 0.500 0.576 1
Ag3 0.000 0.000 0.738 1
Ag4 0.000 0.500 0.238 1

---

# ZnAg6Hg PBE relaxed
# Density: 10.54 g/cm3
# Total magnetic moment: 0.000 μB/cell
data_ZnAg6Hg
_chemical_formula_sum 'Zn1 Ag6 Hg1'
_space_group_name_H-M_alt 'P 1'
_space_group_IT_number 1
_cell_length_a 4.244
_cell_length_b 4.244
_cell_length_c 7.991
_cell_angle_alpha 90.00
_cell_angle_beta 90.00
_cell_angle_gamma 90.00
loop_
_space_group_symop_operation_xyz
'x,y,z'
loop_
_atom_site_label
_atom_site_fract_x
_atom_site_fract_y
_atom_site_fract_z
_atom_site_occupancy
Zn1 0.000 0.000 0.500 1
Ag1 0.500 0.500 0.000 1
Ag2 0.500 0.500 0.500 1
Ag3 0.500 0.000 0.261 1
Ag4 0.500 0.000 0.739 1
Ag5 0.000 0.500 0.261 1
Ag6 0.000 0.500 0.739 1
Hg1 0.000 0.000 0.000 1

---

# ZnAg14Hg PBE relaxed
# Density: 10.27 g/cm3
# Total magnetic moment: 0.000 μB/cell
data_ZnAg14Hg
_chemical_formula_sum 'Zn1 Ag14 Hg1'
_space_group_name_H-M_alt 'P 1'
_space_group_IT_number 1
_cell_length_a 5.879
_cell_length_b 5.879
_cell_length_c 9.587
_cell_angle_alpha 90.00
_cell_angle_beta 90.00
_cell_angle_gamma 119.93
loop_
_space_group_symop_operation_xyz
'x,y,z'
loop_
_atom_site_label
_atom_site_fract_x
_atom_site_fract_y
_atom_site_fract_z
_atom_site_occupancy
Zn1 0.541 0.459 0.500 1
Ag1 0.208 0.792 0.000 1
Ag2 0.707 0.293 0.000 1
Ag3 0.041 0.457 0.500 1
Ag4 0.210 0.293 0.000 1
Ag5 0.543 0.959 0.500 1
Ag6 0.707 0.790 0.000 1
Ag7 0.378 0.128 0.750 1
Ag8 0.378 0.128 0.250 1
Ag9 0.872 0.622 0.750 1
Ag10 0.872 0.622 0.250 1
Ag11 0.376 0.624 0.748 1
Ag12 0.376 0.624 0.252 1
Ag13 0.874 0.126 0.754 1
Ag14 0.874 0.126 0.246 1
Hg1 0.042 0.958 0.500 1

---

# Zn2Ag2Hg PBE relaxed
# Density: 10.19 g/cm3
# Total magnetic moment: 0.000 μB/cell
# Relative energy among the computed polymorphs: 0.000 eV/f.u.
data_Zn2Ag2Hg
_chemical_formula_sum 'Zn4 Ag4 Hg2'
_space_group_name_H-M_alt 'P 1'
_space_group_IT_number 1
_cell_length_a 7.414
_cell_length_b 7.414
_cell_length_c 3.243
_cell_angle_alpha 90.00
_cell_angle_beta 90.00
_cell_angle_gamma 90.00
loop_
_space_group_symop_operation_xyz
'x,y,z'
loop_
_atom_site_label
_atom_site_fract_x
_atom_site_fract_y
_atom_site_fract_z
_atom_site_occupancy
Zn1 0.365 0.865 0.000 1
Zn2 0.865 0.635 0.000 1
Zn3 0.635 0.135 0.000 1
Zn4 0.135 0.365 0.000 1
Hg1 0.000 0.000 0.000 1
Hg2 0.500 0.500 0.000 1
Ag1 0.159 0.659 0.500 1
Ag2 0.659 0.841 0.500 1
Ag3 0.841 0.341 0.500 1
Ag4 0.341 0.159 0.500 1

---

Number 1: total energy -2.15 eV per atom, calculated formation energy 0.072 eV per atom. Number 2: total energy -1.41 eV per atom, calculated formation energy 0.068 eV per atom. Number 3: total energy -1.40 eV per atom, calculated formation energy 0.078 eV per atom. Number 4: total energy -0.74 eV per atom, calculated formation energy 0.269 eV per atom. Number 5: total energy -1.59 eV per atom, calculated formation energy 0.122 eV per atom. Number 6: total energy -1.42 eV per atom, calculated formation energy 0.060 eV per atom. Number 7: total energy -1.78 eV per atom, calculated formation energy 0.038 eV per atom. Number 8: total energy -1.40 eV per atom, calculated formation energy 0.074 eV per atom. Number 9: total energy -0.68 eV per atom, calculated formation energy 0.329 eV per atom. Number 10: total energy -1.40 eV per atom, calculated formation energy 0.074 eV per atom. Number 11: total energy -2.32 eV per atom, calculated formation energy 0.020 eV per atom. Number 12: total energy -2.57 eV per atom, calculated formation energy 0.025 eV per atom. Number 13: total energy -1.66 eV per atom, calculated formation energy 0.050 eV per atom.